1.
Density functional theory data (PBE) for an optimized crystal structure of CaIn2IrO8.

Output
The raw formation energy is -1216.1 meV per atom. As for the space group: No. 10.

Lattice parameters (Å, degrees): 4.717 6.720 4.988 90.00 91.29 90.00
Fractional positions:
Ca: 0.000 0.000 0.000
In: 0.500 0.254 0.500
In: 0.500 0.746 0.500
Ir: 0.000 0.500 0.000
O: 0.228 0.295 0.854
O: 0.228 0.705 0.854
O: 0.247 0.000 0.396
O: 0.248 0.500 0.321
O: 0.752 0.500 0.679
O: 0.753 0.000 0.604
O: 0.772 0.295 0.146
O: 0.772 0.705 0.146

---

2.
Density functional theory data (PBE) for an optimized crystal structure of Fe2TeCl.

Output
The raw formation energy is 1.8 meV per atom. The polymorph energy (0 for the lowest one) is 15.3 kJ per mole of atoms. As for the space group: No. 8.

Lattice parameters (Å, degrees): 4.433 4.433 6.790 95.08 95.08 45.39
Fractional positions:
Fe: 0.000 0.000 0.000
Fe: 0.707 0.707 0.076
Te: 0.276 0.276 0.807
Cl: 0.515 0.515 0.291

---

3.
Density functional theory data (PBE) for an optimized crystal structure of ZnHgTe2.

Output
The raw formation energy is 257.0 meV per atom. As for the space group: No. 119.

Lattice parameters (Å, degrees): 5.239 5.239 5.239 118.45 118.45 92.70
Fractional positions:
Zn: 0.000 0.000 0.000
Hg: 0.750 0.250 0.500
Te: 0.250 0.750 0.500
Te: 0.500 0.500 0.000

---

4.
Density functional theory data (PBE) for an optimized crystal structure of Ga3Te3Br.

Output
The raw formation energy is -476.4 meV per atom. As for the space group: No. 62.

Lattice parameters (Å, degrees): 11.400 4.147 20.131 90.00 90.00 90.00
Fractional positions:
Ga: 0.054 0.250 0.099
Ga: 0.167 0.250 0.635
Ga: 0.172 0.250 0.996
Ga: 0.328 0.750 0.496
Ga: 0.333 0.750 0.135
Ga: 0.446 0.750 0.599
Ga: 0.554 0.250 0.401
Ga: 0.667 0.250 0.865
Ga: 0.672 0.250 0.504
Ga: 0.828 0.750 0.004
Ga: 0.833 0.750 0.365
Ga: 0.946 0.750 0.901
Te: 0.088 0.250 0.871
Te: 0.175 0.250 0.502
Te: 0.224 0.250 0.193
Te: 0.276 0.750 0.693
Te: 0.325 0.750 0.002
Te: 0.412 0.750 0.371
Te: 0.588 0.250 0.629
Te: 0.675 0.250 0.998
Te: 0.724 0.250 0.307
Te: 0.776 0.750 0.807
Te: 0.825 0.750 0.498
Te: 0.912 0.750 0.129
Br: 0.032 0.750 0.332
Br: 0.468 0.250 0.832
Br: 0.532 0.750 0.168
Br: 0.968 0.250 0.668

---

5.
Density functional theory data (PBE) for an optimized crystal structure of Sr3YPa3N8.

Output
The raw formation energy is -1343.3 meV per atom. As for the space group: No. 166.

Lattice parameters (Å, degrees): 7.295 7.295 7.295 58.66 58.66 58.66
Fractional positions:
Sr: 0.000 0.500 0.500
Sr: 0.500 0.000 0.500
Sr: 0.500 0.500 0.000
Y: 0.500 0.500 0.500
Pa: 0.000 0.000 0.500
Pa: 0.000 0.500 0.000
Pa: 0.500 0.000 0.000
N: 0.217 0.733 0.733
N: 0.236 0.236 0.236
N: 0.267 0.267 0.783
N: 0.267 0.783 0.267
N: 0.733 0.217 0.733
N: 0.733 0.733 0.217
N: 0.764 0.764 0.764
N: 0.783 0.267 0.267

---

6.
Density functional theory data (PBE) for an optimized crystal structure of Pa2CdPt3.

Output
As for the formation energy: -492 meV/atom. As for the space group: No. 141.

Lattice parameters (Å, degrees): 9.388 9.388 9.388 120.11 120.11 89.81
Fractional positions:
Pa: 0.262 0.286 0.524
Pa: 0.262 0.738 0.524
Pa: 0.262 0.738 0.976
Pa: 0.286 0.262 0.024
Pa: 0.714 0.738 0.976
Pa: 0.738 0.262 0.024
Pa: 0.738 0.262 0.476
Pa: 0.738 0.714 0.476
Cd: 0.000 0.000 0.000
Cd: 0.000 0.000 0.500
Cd: 0.000 0.500 0.000
Cd: 0.500 0.000 0.500
Pt: 0.123 0.373 0.246
Pt: 0.123 0.373 0.750
Pt: 0.123 0.877 0.750
Pt: 0.373 0.123 0.250
Pt: 0.373 0.123 0.746
Pt: 0.373 0.627 0.250
Pt: 0.627 0.373 0.750
Pt: 0.627 0.877 0.254
Pt: 0.627 0.877 0.750
Pt: 0.877 0.123 0.250
Pt: 0.877 0.627 0.250
Pt: 0.877 0.627 0.754

---

7.
Density functional theory data (PBE) for an optimized crystal structure of SrCdPtAu2.

Output
As for the formation energy: 548 meV/atom. As for the space group: No. 123.

Lattice parameters (Å, degrees): 5.055 5.055 6.034 90.00 90.00 90.00
Fractional positions:
Sr: 0.000 0.000 0.000
Cd: 0.000 0.000 0.500
Pt: 0.500 0.500 0.000
Au: 0.000 0.500 0.500
Au: 0.500 0.000 0.500

---

8.
Density functional theory data (PBE) for an optimized crystal structure of TbSm5Er4.

Output
As for the formation energy: 298 meV/atom. The polymorph energy (0 for the lowest one) is 25.0 kJ per mole of atoms. As for the space group: No. 79.

Lattice parameters (Å, degrees): 7.881 7.881 7.881 99.19 99.19 132.88
Fractional positions:
Tb: 0.000 0.000 0.000
Sm: 0.458 0.458 0.000
Sm: 0.496 0.876 0.915
Sm: 0.581 0.496 0.620
Sm: 0.876 0.961 0.380
Sm: 0.961 0.581 0.085
Er: 0.179 0.880 0.606
Er: 0.274 0.573 0.394
Er: 0.573 0.179 0.299
Er: 0.880 0.274 0.701

---

9.
Density functional theory data (PBE) for an optimized crystal structure of NbWAu.

Output
As for the formation energy: -11 meV/atom. As for the space group: No. 129.

Lattice parameters (Å, degrees): 3.323 3.323 9.405 90.00 90.00 90.00
Fractional positions:
Nb: 0.250 0.250 0.248
Nb: 0.750 0.750 0.752
W: 0.250 0.250 0.919
W: 0.750 0.750 0.081
Au: 0.250 0.250 0.586
Au: 0.750 0.750 0.414

---

10.
Density functional theory data (PBE) for an optimized crystal structure of CaTbNiHg.

Output
As for the formation energy: -279 meV/atom. As for the space group: No. 216.

Lattice parameters (Å, degrees): 5.077 5.077 5.077 60.00 60.00 60.00
Fractional positions:
Ca: 0.000 0.000 0.000
Tb: 0.500 0.500 0.500
Ni: 0.750 0.750 0.750
Hg: 0.250 0.250 0.250

---

11.
Density functional theory data (PBE) for an optimized crystal structure of Mg7Ga2Pb2.

Output
As for the formation energy: 5 meV/atom. The polymorph energy (0 for the lowest one) is 5.7 kJ per mole of atoms. As for the space group: No. 65.

Lattice parameters (Å, degrees): 6.578 6.578 6.585 90.00 90.00 97.06
Fractional positions:
Mg: 0.000 0.000 0.000
Mg: 0.000 0.500 0.248
Mg: 0.000 0.500 0.752
Mg: 0.500 0.000 0.248
Mg: 0.500 0.000 0.752
Mg: 0.500 0.500 0.252
Mg: 0.500 0.500 0.748
Ga: 0.278 0.722 0.000
Ga: 0.722 0.278 0.000
Pb: 0.188 0.188 0.500
Pb: 0.812 0.812 0.500

---

Number 1: volume 13.17 A^3/atom. Number 2: volume 23.64 A^3/atom. Number 3: volume 25.99 A^3/atom. Number 4: volume 33.99 A^3/atom. Number 5: volume 17.74 A^3/atom. Number 6: volume 24.33 A^3/atom. Number 7: volume 30.84 A^3/atom. Number 8: volume 32.88 A^3/atom. Number 9: volume 17.31 A^3/atom. Number 10: volume 23.14 A^3/atom. Number 11: volume 25.71 A^3/atom.